# 1
! Ac3TmTl4Te8 PBE-GGA relaxed; values from VASP
! ΔE_f (raw)   -1103 meV/atom
! Space-group type   R-3m
! V   39.4 A^3/atom
&SYSTEM
  ibrav = 0, nat = 16, ntyp = 4
/
ATOMIC_SPECIES
Ac 227.00 Ac.upf
Tm 168.93 Tm.upf
Tl 204.38 Tl.upf
Te 127.60 Te.upf
CELL_PARAMETERS angstrom
-3.330 7.606 -4.474
-1.285 -5.349 -8.136
-4.040 -2.902 8.014
ATOMIC_POSITIONS angstrom
Ac -2.308 1.129 -6.305
Ac -4.327 -0.322 -2.298
Ac -2.663 -4.125 -0.061
Tm -0.643 -2.674 -4.068
Tl -1.665 3.803 -2.237
Tl -3.685 2.352 1.770
Tl 0.000 0.000 0.000
Tl -2.020 -1.451 4.007
Te -5.692 -4.975 1.044
Te -3.552 -3.438 -3.200
Te -3.267 -0.974 0.776
Te -7.456 -0.946 -1.326
Te -1.199 0.302 -3.270
Te -5.388 0.329 -5.372
Te -5.103 2.793 -1.395
Te -2.963 4.331 -5.640

# 2
! Ac2TmTl3Te6 PBE-GGA relaxed; values from VASP
! ΔE_f (raw)   -1097 meV/atom
! Space-group type   C2/m
! V   38.8 A^3/atom
&SYSTEM
  ibrav = 0, nat = 12, ntyp = 4
/
ATOMIC_SPECIES
Ac 227.00 Ac.upf
Tm 168.93 Tm.upf
Tl 204.38 Tl.upf
Te 127.60 Te.upf
CELL_PARAMETERS angstrom
-1.330 -7.708 2.144
6.827 3.721 2.309
-5.522 3.864 5.339
ATOMIC_POSITIONS angstrom
Ac 4.103 -0.096 2.254
Ac 1.393 -3.892 2.199
Tm 0.000 0.000 0.000
Tl 2.677 3.708 4.951
Tl -2.703 -3.831 4.842
Tl -0.013 -0.061 4.896
Te -1.343 -1.841 7.571
Te 2.954 -2.175 4.600
Te 1.318 1.719 2.222
Te 1.201 1.724 7.623
Te -2.980 2.052 5.193
Te -1.227 -1.847 2.170

Question: Number 1 is which compound?
Answer: Ac3TmTl4Te8